Compound: LiCaY2
Source: Alexandria via LeMat-Bulk
Functional: SCAN
Structure: PBEsol geometry

```
data_LiCaY2
_space_group_name_H-M_alt 'P 1 m 1'
_space_group_IT_number 6
_cell_length_a 3.4599
_cell_length_b 5.1173
_cell_length_c 6.9671
_cell_angle_alpha 90.00
_cell_angle_beta 99.16
_cell_angle_gamma 90.00
loop_
_space_group_symop_operation_xyz
'x,y,z'
'x,-y,z'
loop_
_atom_site_label
_atom_site_type_symbol
_atom_site_fract_x
_atom_site_fract_y
_atom_site_fract_z
_atom_site_occupancy
Li1 Li 0.0000 0.0000 0.0000 1
Ca1 Ca 0.5994 0.5000 0.7454 1
Y1 Y 0.0195 0.0000 0.4634 1
Y2 Y 0.4575 0.5000 0.2337 1
```

The calculation puts the formation enthalpy at 0 K at 0.182 eV/atom. Its relative energy among the computed polymorphs is 41 kJ/mol of formula units. As for the total magnetic moment: 0.2 Bohr magnetons per cell. Its calculated total energy is -16.753 eV per atom.

---

Compound: LiCaY2
Source: Alexandria via LeMat-Bulk
Functional: SCAN
Structure: PBEsol geometry

```
data_LiCaY2
_space_group_name_H-M_alt 'P 4 m m'
_space_group_IT_number 99
_cell_length_a 3.5826
_cell_length_b 3.5826
_cell_length_c 9.4235
_cell_angle_alpha 90.00
_cell_angle_beta 90.00
_cell_angle_gamma 90.00
loop_
_space_group_symop_operation_xyz
'x,y,z'
'-y,x,z'
'-x,-y,z'
'y,-x,z'
'-x,y,z'
'y,x,z'
'x,-y,z'
'-y,-x,z'
loop_
_atom_site_label
_atom_site_type_symbol
_atom_site_fract_x
_atom_site_fract_y
_atom_site_fract_z
_atom_site_occupancy
Li1 Li 0.0000 0.0000 0.0000 1
Ca1 Ca 0.5000 0.5000 0.7613 1
Y1 Y 0.0000 0.0000 0.4702 1
Y2 Y 0.5000 0.5000 0.2199 1
```

The calculation puts the formation enthalpy at 0 K at 0.076 eV/atom. Its relative energy among the computed polymorphs is 0 kJ/mol of formula units. As for the total magnetic moment: 1.4 Bohr magnetons per cell. Its calculated total energy is -16.859 eV per atom.

---

Compound: Li2CaY
Source: Alexandria via LeMat-Bulk
Functional: SCAN
Structure: PBEsol geometry

```
data_Li2CaY
_space_group_name_H-M_alt 'P 4/m m m'
_space_group_IT_number 123
_space_group_name_Hall '-P 4 2'
_cell_length_a 5.4393
_cell_length_b 5.4393
_cell_length_c 3.6597
_cell_angle_alpha 90.00
_cell_angle_beta 90.00
_cell_angle_gamma 90.00
loop_
_atom_site_label
_atom_site_type_symbol
_atom_site_fract_x
_atom_site_fract_y
_atom_site_fract_z
_atom_site_occupancy
Li1 Li 0.0000 0.5000 0.0000 1
Ca1 Ca 0.0000 0.0000 0.5000 1
Y1 Y 0.5000 0.5000 0.5000 1
```

The calculation puts the formation enthalpy at 0 K at 0.106 eV/atom. Its relative energy among the computed polymorphs is 8 kJ/mol of formula units. As for the total magnetic moment: 0.2 Bohr magnetons per cell. Its calculated total energy is -10.465 eV per atom.

---

Compound: LiCaY2
Source: Alexandria via LeMat-Bulk
Functional: SCAN
Structure: PBEsol geometry

```
data_LiCaY2
_space_group_name_H-M_alt 'I m m 2'
_space_group_IT_number 44
_cell_length_a 3.7797
_cell_length_b 5.6435
_cell_length_c 11.0889
_cell_angle_alpha 90.00
_cell_angle_beta 90.00
_cell_angle_gamma 90.00
loop_
_space_group_symop_operation_xyz
'x,y,z'
'-x,-y,z'
'-x,y,z'
'x,-y,z'
'x+1/2,y+1/2,z+1/2'
'-x+1/2,-y+1/2,z+1/2'
'-x+1/2,y+1/2,z+1/2'
'x+1/2,-y+1/2,z+1/2'
loop_
_atom_site_label
_atom_site_type_symbol
_atom_site_fract_x
_atom_site_fract_y
_atom_site_fract_z
_atom_site_occupancy
Li1 Li 0.0000 0.0000 0.0000 1
Ca1 Ca 0.0000 0.5000 0.2768 1
Y1 Y 0.0000 0.0000 0.4973 1
Y2 Y 0.0000 0.5000 0.7266 1
```

The calculation puts the formation enthalpy at 0 K at 0.155 eV/atom. Its relative energy among the computed polymorphs is 31 kJ/mol of formula units. As for the total magnetic moment: 2.2 Bohr magnetons per cell. Its calculated total energy is -16.779 eV per atom.

---

Which value of total magnetic moment does entry 2 give? 1.4 Bohr magnetons per cell